# HfZr2H (PBE, optimized geometry)
data_HfZr2H
_cell_length_a 3.103
_cell_length_b 5.177
_cell_length_c 5.176
_cell_angle_alpha 59.17
_cell_angle_beta 89.99
_cell_angle_gamma 90.00
_space_group_name_H-M_alt 'P 1'
_space_group_IT_number 1
loop_
_space_group_symop_operation_xyz
'x,y,z'
loop_
_atom_site_label
_atom_site_type_symbol
_atom_site_fract_x
_atom_site_fract_y
_atom_site_fract_z
Hf1 Hf 0.250 0.202 0.298
H1 H 0.750 0.944 0.556
Zr1 Zr 0.750 0.846 0.993
Zr2 Zr 0.750 0.507 0.654
# DFT total energy	-7.728	eV per atom
# total magnetization	0.0	μB per formula unit
# distance to the lowest polymorph of the same formula	0.000	eV per atom